1.
Here is a relaxed structure of MnHPdPt2 from Alexandria. Energies are from PBE.

M_tot ... 4.64 μB/f.u.
VASP energy ... -6.140 eV/atom
SG ... P4/mmm, No. 123
Distance to the lowest polymorph of the same formula ... 14 kJ/mol of formula units
Fermi-level density of states ... 0.74 states/eV/atom

a = 3.937 Å, b = 3.937 Å, c = 4.111 Å
α = 90.00°, β = 90.00°, γ = 90.00°
Sites, in units of the cell vectors:
Mn  0.000  0.000  0.000
H  0.000  0.000  0.500
Pd  0.500  0.500  0.000
Pt  0.000  0.500  0.500
Pt  0.500  0.000  0.500

***

2.
Here is a relaxed structure of TbZn3Cu from Alexandria. Energies are from PBE.

M_tot ... 0.00 μB/f.u.
VASP energy ... -2.785 eV/atom
SG ... Cmcm, No. 63
Distance to the lowest polymorph of the same formula ... 0 kJ/mol of formula units
Energy of formation from the pure elements ... -0.275 eV per atom
Fermi-level density of states ... 0.52 states/eV/atom

a = 6.193 Å, b = 6.193 Å, c = 5.703 Å
α = 90.00°, β = 90.00°, γ = 125.48°
Sites, in units of the cell vectors:
Tb  0.247  0.753  0.750
Tb  0.753  0.247  0.250
Zn  0.138  0.862  0.250
Zn  0.261  0.261  0.000
Zn  0.261  0.261  0.500
Zn  0.739  0.739  0.000
Zn  0.739  0.739  0.500
Zn  0.862  0.138  0.750
Cu  0.357  0.643  0.250
Cu  0.643  0.357  0.750

***

3.
Here is a relaxed structure of CeSnPd3 from Alexandria. Energies are from PBE.

M_tot ... 0.71 μB/f.u.
VASP energy ... -5.713 eV/atom
SG ... Cmcm, No. 63
Distance to the lowest polymorph of the same formula ... 0 kJ/mol of formula units
Energy of formation from the pure elements ... -0.610 eV per atom
Fermi-level density of states ... 1.32 states/eV/atom

a = 7.314 Å, b = 7.314 Å, c = 5.202 Å
α = 90.00°, β = 90.00°, γ = 133.86°
Sites, in units of the cell vectors:
Ce  0.076  0.924  0.750
Ce  0.924  0.076  0.250
Sn  0.313  0.687  0.250
Sn  0.687  0.313  0.750
Pd  0.101  0.396  0.750
Pd  0.396  0.101  0.250
Pd  0.500  0.500  0.000
Pd  0.500  0.500  0.500
Pd  0.604  0.899  0.750
Pd  0.899  0.604  0.250

***

4.
Here is a relaxed structure of Rb2LaAlCl6 from Alexandria. Energies are from PBE.

M_tot ... 0.00 μB/f.u.
VASP energy ... -3.945 eV/atom
SG ... Fm-3m, No. 225
ΔE_f (raw) ... -1.776 eV per atom
Fermi-level density of states ... 0.00 states/eV/atom

a = 8.035 Å, b = 8.035 Å, c = 8.035 Å
α = 60.00°, β = 60.00°, γ = 60.00°
Sites, in units of the cell vectors:
Rb  0.250  0.250  0.250
Rb  0.750  0.750  0.750
La  0.000  0.000  0.000
Al  0.500  0.500  0.500
Cl  0.244  0.244  0.756
Cl  0.244  0.756  0.244
Cl  0.244  0.756  0.756
Cl  0.756  0.244  0.244
Cl  0.756  0.244  0.756
Cl  0.756  0.756  0.244

***

5.
Here is a relaxed structure of BaNa3Sr4 from Alexandria. Energies are from PBE.

M_tot ... 0.00 μB/f.u.
VASP energy ... -1.535 eV/atom
SG ... Pmmm, No. 47
Energy of formation from the pure elements ... 0.041 eV per atom
Fermi-level density of states ... 0.97 states/eV/atom

a = 4.578 Å, b = 6.594 Å, c = 13.166 Å
α = 90.00°, β = 90.00°, γ = 90.00°
Sites, in units of the cell vectors:
Ba  0.000  0.000  0.000
Na  0.000  0.000  0.500
Na  0.000  0.500  0.244
Na  0.000  0.500  0.756
Sr  0.500  0.000  0.266
Sr  0.500  0.000  0.734
Sr  0.500  0.500  0.000
Sr  0.500  0.500  0.500

***

6.
Here is a relaxed structure of La2Zn2Cl from Alexandria. Energies are from PBE.

M_tot ... 0.00 μB/f.u.
VASP energy ... -3.729 eV/atom
SG ... R-3m, No. 166
Distance to the lowest polymorph of the same formula ... 0 kJ/mol of formula units
ΔE_f (raw) ... -0.879 eV per atom
Fermi-level density of states ... 0.86 states/eV/atom

a = 7.642 Å, b = 7.642 Å, c = 7.642 Å
α = 33.77°, β = 33.77°, γ = 33.77°
Sites, in units of the cell vectors:
La  0.090  0.090  0.090
La  0.910  0.910  0.910
Zn  0.329  0.329  0.329
Zn  0.671  0.671  0.671
Cl  0.500  0.500  0.500

***

7.
Here is a relaxed structure of Nb3AgSn from Alexandria. Energies are from PBE.

M_tot ... 0.00 μB/f.u.
VASP energy ... -5.946 eV/atom
SG ... Pm-3m, No. 221
Distance to the lowest polymorph of the same formula ... 0 kJ/mol of formula units
Energy of formation from the pure elements ... 1.467 eV per atom
Fermi-level density of states ... 0.70 states/eV/atom

a = 4.920 Å, b = 4.920 Å, c = 4.920 Å
α = 90.00°, β = 90.00°, γ = 90.00°
Sites, in units of the cell vectors:
Nb  0.000  0.000  0.500
Nb  0.000  0.500  0.000
Nb  0.500  0.000  0.000
Ag  0.000  0.000  0.000
Sn  0.500  0.500  0.500

***

8.
Here is a relaxed structure of NdPaAlGa from Alexandria. Energies are from PBE.

M_tot ... 1.41 μB/f.u.
VASP energy ... -5.395 eV/atom
SG ... F-43m, No. 216
Energy of formation from the pure elements ... -0.137 eV per atom
Fermi-level density of states ... 1.82 states/eV/atom

a = 5.159 Å, b = 5.159 Å, c = 5.159 Å
α = 60.00°, β = 60.00°, γ = 60.00°
Sites, in units of the cell vectors:
Nd  0.000  0.000  0.000
Pa  0.500  0.500  0.500
Al  0.250  0.250  0.250
Ga  0.750  0.750  0.750

***

9.
Here is a relaxed structure of Sc4GaCo2 from Alexandria. Energies are from PBE.

M_tot ... 0.00 μB/f.u.
VASP energy ... -6.407 eV/atom
SG ... Cmcm, No. 63
Distance to the lowest polymorph of the same formula ... 0 kJ/mol of formula units
Energy of formation from the pure elements ... -0.327 eV per atom
Fermi-level density of states ... 0.81 states/eV/atom

a = 4.625 Å, b = 4.625 Å, c = 13.477 Å
α = 90.00°, β = 90.00°, γ = 120.02°
Sites, in units of the cell vectors:
Sc  0.000  0.000  0.000
Sc  0.000  0.000  0.500
Sc  0.333  0.667  0.627
Sc  0.333  0.667  0.873
Sc  0.334  0.666  0.250
Sc  0.666  0.334  0.750
Sc  0.667  0.333  0.127
Sc  0.667  0.333  0.373
Ga  0.001  0.999  0.250
Ga  0.999  0.001  0.750
Co  0.333  0.667  0.057
Co  0.333  0.667  0.443
Co  0.667  0.333  0.557
Co  0.667  0.333  0.943

***

10.
Here is a relaxed structure of U2Al8Pd from Alexandria. Energies are from PBE.

M_tot ... 4.37 μB/f.u.
VASP energy ... -5.531 eV/atom
SG ... P4/mmm, No. 123
Energy of formation from the pure elements ... -0.284 eV per atom
Fermi-level density of states ... 1.07 states/eV/atom

a = 4.286 Å, b = 4.286 Å, c = 11.206 Å
α = 90.00°, β = 90.00°, γ = 90.00°
Sites, in units of the cell vectors:
U  0.000  0.000  0.187
U  0.000  0.000  0.813
Al  0.000  0.500  0.000
Al  0.000  0.500  0.372
Al  0.000  0.500  0.628
Al  0.500  0.000  0.000
Al  0.500  0.000  0.372
Al  0.500  0.000  0.628
Al  0.500  0.500  0.192
Al  0.500  0.500  0.808
Pd  0.000  0.000  0.500

***

11.
Here is a relaxed structure of Ta5Pd from Alexandria. Energies are from PBE.

M_tot ... 0.00 μB/f.u.
VASP energy ... -10.828 eV/atom
SG ... Cmmm, No. 65
Energy of formation from the pure elements ... -0.086 eV per atom
Fermi-level density of states ... 0.77 states/eV/atom

a = 7.176 Å, b = 7.176 Å, c = 3.346 Å
α = 90.00°, β = 90.00°, γ = 142.03°
Sites, in units of the cell vectors:
Ta  0.000  0.000  0.000
Ta  0.165  0.835  0.500
Ta  0.332  0.668  0.000
Ta  0.668  0.332  0.000
Ta  0.835  0.165  0.500
Pd  0.500  0.500  0.500

***

12.
Here is a relaxed structure of CrTc2Rh from Alexandria. Energies are from PBE.

M_tot ... 0.00 μB/f.u.
VASP energy ... -9.406 eV/atom
SG ... I-4m2, No. 119
Distance to the lowest polymorph of the same formula ... 1 kJ/mol of formula units
Energy of formation from the pure elements ... 0.021 eV per atom
Fermi-level density of states ... 1.03 states/eV/atom

a = 4.660 Å, b = 4.660 Å, c = 4.660 Å
α = 131.71°, β = 131.71°, γ = 70.68°
Sites, in units of the cell vectors:
Cr  0.000  0.000  0.000
Tc  0.250  0.750  0.500
Tc  0.500  0.500  0.000
Rh  0.750  0.250  0.500

***

13.
Here is a relaxed structure of Sr2Zn9Ir3 from Alexandria. Energies are from PBE.

M_tot ... 0.00 μB/f.u.
VASP energy ... -3.227 eV/atom
SG ... C2/c, No. 15
Energy of formation from the pure elements ... -0.269 eV per atom
Fermi-level density of states ... 0.54 states/eV/atom

a = 7.813 Å, b = 7.813 Å, c = 10.929 Å
α = 113.04°, β = 113.04°, γ = 58.90°
Sites, in units of the cell vectors:
Sr  0.088  0.258  0.245
Sr  0.258  0.088  0.745
Sr  0.742  0.912  0.255
Sr  0.912  0.742  0.755
Zn  0.027  0.849  0.068
Zn  0.151  0.973  0.432
Zn  0.193  0.358  0.557
Zn  0.206  0.589  0.253
Zn  0.330  0.495  0.984
Zn  0.357  0.643  0.750
Zn  0.358  0.193  0.057
Zn  0.411  0.794  0.247
Zn  0.495  0.330  0.484
Zn  0.505  0.670  0.516
Zn  0.589  0.206  0.753
Zn  0.642  0.807  0.943
Zn  0.643  0.357  0.250
Zn  0.670  0.505  0.016
Zn  0.794  0.411  0.747
Zn  0.807  0.642  0.443
Zn  0.849  0.027  0.568
Zn  0.973  0.151  0.932
Ir  0.000  0.500  0.000
Ir  0.152  0.676  0.498
Ir  0.324  0.848  0.002
Ir  0.500  0.000  0.500
Ir  0.676  0.152  0.998
Ir  0.848  0.324  0.502

***

14.
Here is a relaxed structure of Ho4Si6Ir7 from Alexandria. Energies are from PBE.

M_tot ... 0.00 μB/f.u.
VASP energy ... -7.668 eV/atom
SG ... Im-3m, No. 229
ΔE_f (raw) ... -1.028 eV per atom
Fermi-level density of states ... 0.46 states/eV/atom

a = 7.161 Å, b = 7.161 Å, c = 7.161 Å
α = 109.47°, β = 109.47°, γ = 109.47°
Sites, in units of the cell vectors:
Ho  0.000  0.000  0.500
Ho  0.000  0.500  0.000
Ho  0.500  0.000  0.000
Ho  0.500  0.500  0.500
Si  0.000  0.325  0.325
Si  0.000  0.675  0.675
Si  0.325  0.000  0.325
Si  0.325  0.325  0.000
Si  0.675  0.000  0.675
Si  0.675  0.675  0.000
Ir  0.000  0.000  0.000
Ir  0.250  0.500  0.750
Ir  0.250  0.750  0.500
Ir  0.500  0.250  0.750
Ir  0.500  0.750  0.250
Ir  0.750  0.250  0.500
Ir  0.750  0.500  0.250

***

15.
Here is a relaxed structure of Yb2CuPd from Alexandria. Energies are from PBE.

M_tot ... 0.00 μB/f.u.
VASP energy ... -3.651 eV/atom
SG ... Fm-3m, No. 225
Energy of formation from the pure elements ... -0.566 eV per atom
Fermi-level density of states ... 0.62 states/eV/atom

a = 4.894 Å, b = 4.894 Å, c = 4.894 Å
α = 60.00°, β = 60.00°, γ = 60.00°
Sites, in units of the cell vectors:
Yb  0.250  0.250  0.250
Yb  0.750  0.750  0.750
Cu  0.000  0.000  0.000
Pd  0.500  0.500  0.500

***

16.
Here is a relaxed structure of Pr5Se4N from Alexandria. Energies are from PBE.

M_tot ... 0.00 μB/f.u.
VASP energy ... -6.296 eV/atom
SG ... I4/mmm, No. 139
ΔE_f (raw) ... -1.680 eV per atom
Fermi-level density of states ... 0.36 states/eV/atom

a = 15.192 Å, b = 15.192 Å, c = 15.192 Å
α = 164.25°, β = 164.25°, γ = 22.35°
Sites, in units of the cell vectors:
Pr  0.000  0.000  0.000
Pr  0.204  0.204  0.000
Pr  0.419  0.419  0.000
Pr  0.581  0.581  0.000
Pr  0.796  0.796  0.000
Se  0.100  0.100  0.000
Se  0.307  0.307  0.000
Se  0.693  0.693  0.000
Se  0.900  0.900  0.000
N  0.500  0.500  0.000

***

17.
Here is a relaxed structure of Ag5Pd2F12 from Alexandria. Energies are from PBE.

M_tot ... 0.81 μB/f.u.
VASP energy ... -3.614 eV/atom
SG ... C2/m, No. 12
ΔE_f (raw) ... -1.135 eV per atom
Fermi-level density of states ... 0.39 states/eV/atom

a = 7.064 Å, b = 7.064 Å, c = 7.528 Å
α = 105.09°, β = 105.09°, γ = 56.54°
Sites, in units of the cell vectors:
Ag  0.000  0.000  0.000
Ag  0.295  0.295  0.110
Ag  0.301  0.301  0.725
Ag  0.699  0.699  0.275
Ag  0.705  0.705  0.890
Pd  0.250  0.750  0.500
Pd  0.750  0.250  0.500
F  0.011  0.011  0.339
F  0.091  0.579  0.391
F  0.099  0.635  0.951
F  0.365  0.901  0.049
F  0.421  0.909  0.609
F  0.489  0.489  0.666
F  0.511  0.511  0.334
F  0.579  0.091  0.391
F  0.635  0.099  0.951
F  0.901  0.365  0.049
F  0.909  0.421  0.609
F  0.989  0.989  0.661

***

18.
Here is a relaxed structure of NaSrP2S from Alexandria. Energies are from PBE.

M_tot ... 0.00 μB/f.u.
VASP energy ... -3.354 eV/atom
SG ... P4/mmm, No. 123
Distance to the lowest polymorph of the same formula ... 0 kJ/mol of formula units
ΔE_f (raw) ... 0.236 eV per atom
Fermi-level density of states ... 1.01 states/eV/atom

a = 4.912 Å, b = 4.912 Å, c = 5.073 Å
α = 90.00°, β = 90.00°, γ = 90.00°
Sites, in units of the cell vectors:
Na  0.000  0.000  0.000
Sr  0.500  0.500  0.500
P  0.000  0.500  0.000
P  0.500  0.000  0.000
S  0.000  0.000  0.500

***

19.
Here is a relaxed structure of LiSnBi2Te4 from Alexandria. Energies are from PBE.

M_tot ... 0.00 μB/f.u.
VASP energy ... -3.598 eV/atom
SG ... P2/m, No. 10
ΔE_f (raw) ... -0.318 eV per atom
Fermi-level density of states ... 0.42 states/eV/atom

a = 7.632 Å, b = 4.705 Å, c = 7.669 Å
α = 90.00°, β = 111.57°, γ = 90.00°
Sites, in units of the cell vectors:
Li  0.000  0.000  0.000
Sn  0.000  0.500  0.500
Bi  0.500  0.000  0.500
Bi  0.500  0.500  0.000
Te  0.244  0.500  0.245
Te  0.246  0.000  0.750
Te  0.754  0.000  0.250
Te  0.756  0.500  0.755

***

20.
Here is a relaxed structure of Be8CrCu3 from Alexandria. Energies are from PBE.

M_tot ... 3.10 μB/f.u.
VASP energy ... -4.386 eV/atom
SG ... P3m1, No. 156
Energy of formation from the pure elements ... -0.076 eV per atom
Fermi-level density of states ... 0.38 states/eV/atom

a = 4.278 Å, b = 4.278 Å, c = 6.985 Å
α = 90.00°, β = 90.00°, γ = 120.00°
Sites, in units of the cell vectors:
Be  0.000  0.000  0.000
Be  0.000  0.000  0.497
Be  0.167  0.333  0.748
Be  0.167  0.833  0.748
Be  0.338  0.169  0.246
Be  0.667  0.833  0.748
Be  0.831  0.169  0.246
Be  0.831  0.662  0.246
Cr  0.667  0.333  0.556
Cu  0.333  0.667  0.054
Cu  0.333  0.667  0.436
Cu  0.667  0.333  0.933

***

21.
Here is a relaxed structure of Cr2BiB from Alexandria. Energies are from PBE.

M_tot ... 3.67 μB/f.u.
VASP energy ... -6.313 eV/atom
SG ... Fm-3m, No. 225
Distance to the lowest polymorph of the same formula ... 92 kJ/mol of formula units
Energy of formation from the pure elements ... 1.138 eV per atom
Fermi-level density of states ... 0.86 states/eV/atom

a = 4.328 Å, b = 4.328 Å, c = 4.328 Å
α = 60.00°, β = 60.00°, γ = 60.00°
Sites, in units of the cell vectors:
Cr  0.250  0.250  0.250
Cr  0.750  0.750  0.750
Bi  0.000  0.000  0.000
B  0.500  0.500  0.500

***

22.
Here is a relaxed structure of Y2Np2S7 from Alexandria. Energies are from PBE.

M_tot ... 6.00 μB/f.u.
VASP energy ... -7.749 eV/atom
SG ... Imm2, No. 44
Distance to the lowest polymorph of the same formula ... 0 kJ/mol of formula units
ΔE_f (raw) ... -1.594 eV per atom
Fermi-level density of states ... 1.66 states/eV/atom

a = 8.443 Å, b = 8.443 Å, c = 8.443 Å
α = 153.23°, β = 67.39°, γ = 119.45°
Sites, in units of the cell vectors:
Y  0.244  0.000  0.244
Y  0.756  0.000  0.756
Np  0.244  0.244  0.000
Np  0.703  0.203  0.500
S  0.062  0.693  0.369
S  0.324  0.693  0.631
S  0.418  0.525  0.893
S  0.620  0.304  0.316
S  0.632  0.525  0.107
S  0.926  0.926  0.000
S  0.988  0.304  0.684